Computed, not measured: a relaxed PrEr5Pd4 crystal at the GGA-PBE level of DFT.

a = 3.5014 Å, b = 3.5014 Å, c = 19.1963 Å
α = 90.00°, β = 90.00°, γ = 90.00°
Sites, in units of the cell vectors:
Pd 0.0000 0.0000 0.5910
Pd 0.0000 0.0000 0.7723
Pd 0.0000 0.0000 0.4090
Pd 0.0000 0.0000 0.2277
Pr 0.0000 0.0000 0.0000
Er 0.5000 0.5000 0.3193
Er 0.5000 0.5000 0.5000
Er 0.5000 0.5000 0.1418
Er 0.5000 0.5000 0.6807
Er 0.5000 0.5000 0.8582

Results
- V (Å³ per cell) = 235
- raw total energy (eV/atom) = -5.563
- space-group type = P4/mmm, No. 123
- D(E_F) (states/eV per cell) = 8.3
- M_tot (Bohr magnetons per cell) = 0.00

***

Computed, not measured: a relaxed Pr2ErPd9 crystal at the GGA-PBE level of DFT.

a = 4.1937 Å, b = 4.1937 Å, c = 12.4908 Å
α = 90.00°, β = 90.00°, γ = 90.00°
Sites, in units of the cell vectors:
Pd 0.0000 0.5000 0.1591
Pd 0.5000 0.5000 0.0000
Pd 0.5000 0.0000 0.5000
Pd 0.5000 0.5000 0.3309
Pd 0.5000 0.0000 0.8409
Pd 0.5000 0.0000 0.1591
Pd 0.0000 0.5000 0.5000
Pd 0.0000 0.5000 0.8409
Pd 0.5000 0.5000 0.6691
Pr 0.0000 0.0000 0.6713
Pr 0.0000 0.0000 0.3287
Er 0.0000 0.0000 0.0000

Results
- V (Å³ per cell) = 220
- raw total energy (eV/atom) = -5.860
- space-group type = P4/mmm, No. 123
- D(E_F) (states/eV per cell) = 8.3
- M_tot (Bohr magnetons per cell) = 0.00

***

Computed, not measured: a relaxed PrEr3Pd crystal at the GGA-PBE level of DFT.

a = 7.5998 Å, b = 7.5998 Å, c = 7.1567 Å
α = 101.65°, β = 116.05°, γ = 113.35°
Sites, in units of the cell vectors:
Er 0.1658 0.8995 0.6618
Er 0.8342 0.1005 0.3382
Er 0.2377 0.5040 0.3382
Er 0.3026 0.5745 0.8770
Er 0.6974 0.4255 0.1230
Er 0.7623 0.4960 0.6618
Pd 0.6525 0.7217 0.3742
Pd 0.3475 0.2783 0.6258
Pr 0.7371 0.0437 0.7808
Pr 0.2629 0.9563 0.2192

Results
- V (Å³ per cell) = 303
- space-group type = C2/m, No. 12
- D(E_F) (states/eV per cell) = 13.4
- M_tot (Bohr magnetons per cell) = 0.02
- polymorph energy (0 for the lowest one) (kJ/mol of formula units) = 0.0

***

Computed, not measured: a relaxed PrEr3Pd crystal at the GGA-PBE level of DFT.

a = 5.4392 Å, b = 5.4392 Å, c = 5.4392 Å
α = 90.00°, β = 90.00°, γ = 90.00°
Sites, in units of the cell vectors:
Er 0.0000 0.0000 0.5000
Er 0.5000 0.0000 0.0000
Er 0.0000 0.5000 0.0000
Pr 0.5000 0.5000 0.5000
Pd 0.0000 0.0000 0.0000

Results
- V (Å³ per cell) = 161
- space-group type = Pm-3m, No. 221
- D(E_F) (states/eV per cell) = 8.1
- M_tot (Bohr magnetons per cell) = 0.00
- polymorph energy (0 for the lowest one) (kJ/mol of formula units) = 40.6